Entry 1:
The following is a DFT calculation (PBE) of a relaxed EuTlHg2 crystal.

Calculated values
Space-group type: No. 123
Energy of formation from the pure elements: -0.3396 eV/atom

Unit cell a=4.549 b=4.950 c=4.950 alpha=90.00 beta=90.00 gamma=90.00
Last column: magnetic moment on the atom in μB.
Sites, in units of the cell vectors:
Hg 0.000 0.500 0.000  0.02
Hg 0.000 0.000 0.500  0.02
Eu 0.500 0.500 0.500  6.89
Tl 0.500 0.000 0.000  0.01

Entry 2:
The following is a DFT calculation (PBE) of a relaxed Al2AsP crystal.

Calculated values
Space-group type: No. 65
Energy of formation from the pure elements: 0.0888 eV/atom

Unit cell a=3.312 b=3.312 c=7.138 alpha=90.00 beta=90.00 gamma=114.20
Sites, in units of the cell vectors:
As 0.500 0.500 0.250
P 0.500 0.500 0.750
Al 0.000 0.000 0.982
Al 0.000 0.000 0.518

Entry 3:
The following is a DFT calculation (PBE) of a relaxed AcPrSN crystal.

Calculated values
Space-group type: No. 160
Energy relative to the elements, uncorrected: -1.614 eV/atom

Unit cell a=3.921 b=3.921 c=7.181 alpha=74.15 beta=74.15 gamma=60.00
Sites, in units of the cell vectors:
S 0.754 0.754 0.737
Pr 0.512 0.512 0.464
N 0.246 0.246 0.261
Ac 0.987 0.987 0.038

Entry 4:
The following is a DFT calculation (PBE) of a relaxed Ce4HgBi crystal.

Calculated values
Space-group type: No. 47
Energy of formation from the pure elements: -0.1753 eV/atom

Unit cell a=3.225 b=5.103 c=9.460 alpha=90.00 beta=90.00 gamma=90.00
Last column: magnetic moment on the atom in μB.
Sites, in units of the cell vectors:
Bi 0.999 0.497 0.998  -0.02
Ce 0.499 0.997 0.181  0.60
Ce 0.499 0.997 0.815  0.60
Ce 0.499 0.497 0.327  0.62
Ce 0.499 0.497 0.669  0.62
Hg 0.999 0.997 0.498  0.00

What is the formula in the second record? Al2AsP